# MgCr2Pt PBE-GGA optimized geometry
# Energy of formation: 0.65 eV/f.u.
# D(E_F): 1.15 states/eV/atom
data_MgCr2Pt
_chemical_formula_sum 'Mg2 Cr4 Pt2'
_cell_length_a 4.976
_cell_length_b 8.773
_cell_length_c 2.629
_cell_angle_alpha 90.00
_cell_angle_beta 103.89
_cell_angle_gamma 90.00
_space_group_name_H-M_alt 'C 1 2/m 1'
_space_group_IT_number 12
_space_group_name_Hall '-C 2y'
loop_
_atom_site_label
_atom_site_type_symbol
_atom_site_fract_x
_atom_site_fract_y
_atom_site_fract_z
Mg1 Mg 0.000 0.000 0.000
Cr1 Cr 0.250 0.250 0.500
Pt1 Pt 0.000 0.500 0.000



# VRe PBE-GGA optimized geometry
# Energy of formation: 1.65 eV/f.u.
# D(E_F): 1.06 states/eV/atom
data_VRe
_chemical_formula_sum 'V4 Re4'
_cell_length_a 5.000
_cell_length_b 5.000
_cell_length_c 4.997
_cell_angle_alpha 90.00
_cell_angle_beta 90.00
_cell_angle_gamma 90.00
_space_group_name_H-M_alt 'P 42/m n m'
_space_group_IT_number 136
_space_group_name_Hall '-P 4n 2n'
loop_
_atom_site_label
_atom_site_type_symbol
_atom_site_fract_x
_atom_site_fract_y
_atom_site_fract_z
V1 V 0.203 0.203 0.000
Re1 Re 0.204 0.204 0.500



# Cd5Br PBE-GGA optimized geometry
# Energy above the most stable polymorph in this dataset: 0.0000 eV/atom
# D(E_F): 0.21 states/eV/atom
data_Cd5Br
_chemical_formula_sum 'Cd10 Br2'
_cell_length_a 12.639
_cell_length_b 3.429
_cell_length_c 8.533
_cell_angle_alpha 90.00
_cell_angle_beta 123.50
_cell_angle_gamma 90.00
_space_group_name_H-M_alt 'C 1 m 1'
_space_group_IT_number 8
_space_group_name_Hall 'C -2y'
loop_
_atom_site_label
_atom_site_type_symbol
_atom_site_fract_x
_atom_site_fract_y
_atom_site_fract_z
Cd1 Cd 0.000 0.000 0.000
Cd2 Cd 0.003 0.000 0.348
Cd3 Cd 0.222 0.500 0.326
Cd4 Cd 0.272 0.000 0.063
Cd5 Cd 0.368 0.000 0.665
Br1 Br 0.120 0.500 0.687



# Cs2TcSe PBE-GGA optimized geometry
# Energy above the most stable polymorph in this dataset: 0.5674 eV/atom
# D(E_F): 3.61 states/eV/atom
data_Cs2TcSe
_chemical_formula_sum 'Cs8 Tc4 Se4'
_cell_length_a 8.801
_cell_length_b 8.801
_cell_length_c 8.801
_cell_angle_alpha 90.00
_cell_angle_beta 90.00
_cell_angle_gamma 90.00
_space_group_name_H-M_alt 'F m -3 m'
_space_group_IT_number 225
_space_group_name_Hall '-F 4 2 3'
loop_
_atom_site_label
_atom_site_type_symbol
_atom_site_fract_x
_atom_site_fract_y
_atom_site_fract_z
Cs1 Cs 0.250 0.250 0.250
Tc1 Tc 0.000 0.000 0.000
Se1 Se 0.000 0.000 0.500



# Cs8K6P PBE-GGA optimized geometry
# Energy of formation: -0.67 eV/f.u.
# D(E_F): 0.69 states/eV/atom
data_Cs8K6P
_chemical_formula_sum 'Cs24 K18 P3'
_cell_length_a 13.5055
_cell_length_b 13.5055
_cell_length_c 24.9599
_cell_angle_alpha 90.00
_cell_angle_beta 90.00
_cell_angle_gamma 120.00
_space_group_name_H-M_alt 'R -3'
_space_group_IT_number 148
_space_group_name_Hall '-R 3'
loop_
_atom_site_label
_atom_site_type_symbol
_atom_site_fract_x
_atom_site_fract_y
_atom_site_fract_z
Cs1 Cs 0.0000 0.0000 0.2386
Cs2 Cs 0.0452 0.8179 0.4236
K1 K 0.0660 0.8347 0.9238
P1 P 0.0000 0.0000 0.5000



# Nd2Dy7Y PBE-GGA optimized geometry
# Energy above the most stable polymorph in this dataset: 0.0000 eV/atom
# Energy of formation: 0.18 eV/f.u.
# D(E_F): 1.43 states/eV/atom
data_Nd2Dy7Y
_chemical_formula_sum 'Nd2 Dy7 Y1'
_cell_length_a 6.182
_cell_length_b 7.150
_cell_length_c 7.991
_cell_angle_alpha 77.14
_cell_angle_beta 74.94
_cell_angle_gamma 73.41
_space_group_name_H-M_alt 'P -1'
_space_group_IT_number 2
_space_group_name_Hall '-P 1'
loop_
_atom_site_label
_atom_site_type_symbol
_atom_site_fract_x
_atom_site_fract_y
_atom_site_fract_z
Nd1 Nd 0.202 0.299 0.100
Dy1 Dy 0.000 0.500 0.500
Dy2 Dy 0.200 0.800 0.100
Dy3 Dy 0.399 0.101 0.698
Dy4 Dy 0.401 0.600 0.698
Y1 Y 0.000 0.000 0.500



# Pr3Nd8Y2 PBE-GGA optimized geometry
# Energy above the most stable polymorph in this dataset: 0.0000 eV/atom
# Energy of formation: 1.95 eV/f.u.
# D(E_F): 1.77 states/eV/atom
data_Pr3Nd8Y2
_chemical_formula_sum 'Pr6 Nd16 Y4'
_cell_length_a 13.372
_cell_length_b 11.969
_cell_length_c 6.272
_cell_angle_alpha 90.00
_cell_angle_beta 113.19
_cell_angle_gamma 90.00
_space_group_name_H-M_alt 'C 1 2/m 1'
_space_group_IT_number 12
_space_group_name_Hall '-C 2y'
loop_
_atom_site_label
_atom_site_type_symbol
_atom_site_fract_x
_atom_site_fract_y
_atom_site_fract_z
Pr1 Pr 0.000 0.000 0.000
Pr2 Pr 0.000 0.243 0.500
Nd1 Nd 0.057 0.500 0.286
Nd2 Nd 0.155 0.000 0.549
Nd3 Nd 0.174 0.257 0.175
Y1 Y 0.212 0.500 0.858



# KScP2Se8 PBE-GGA optimized geometry
# D(E_F): 0.99 states/eV/atom
# E_tot: -4.28 eV/atom
data_KScP2Se8
_chemical_formula_sum 'K3 Sc3 P6 Se24'
_cell_length_a 6.4223
_cell_length_b 6.4223
_cell_length_c 26.9485
_cell_angle_alpha 90.00
_cell_angle_beta 90.00
_cell_angle_gamma 120.00
_space_group_name_H-M_alt 'R -3'
_space_group_IT_number 148
_space_group_name_Hall '-R 3'
loop_
_atom_site_label
_atom_site_type_symbol
_atom_site_fract_x
_atom_site_fract_y
_atom_site_fract_z
K1 K 0.0000 0.0000 0.0000
Sc1 Sc 0.0000 0.0000 0.5000
P1 P 0.0000 0.0000 0.2467
Se1 Se 0.0000 0.0000 0.3286
Se2 Se 0.0110 0.3171 0.8897



# ZnAg2Ge2 PBE-GGA optimized geometry
# Energy above the most stable polymorph in this dataset: 0.0592 eV/atom
# Energy of formation: 1.61 eV/f.u.
# D(E_F): 0.45 states/eV/atom
data_ZnAg2Ge2
_chemical_formula_sum 'Zn2 Ag4 Ge4'
_cell_length_a 4.115
_cell_length_b 4.115
_cell_length_c 11.767
_cell_angle_alpha 90.00
_cell_angle_beta 90.00
_cell_angle_gamma 90.00
_space_group_name_H-M_alt 'I 4/m m m'
_space_group_IT_number 139
_space_group_name_Hall '-I 4 2'
loop_
_atom_site_label
_atom_site_type_symbol
_atom_site_fract_x
_atom_site_fract_y
_atom_site_fract_z
Zn1 Zn 0.000 0.000 0.000
Ag1 Ag 0.000 0.500 0.250
Ge1 Ge 0.000 0.000 0.397



# MgAsPBr2 PBE-GGA optimized geometry
# Energy above the most stable polymorph in this dataset: 0.0000 eV/atom
# D(E_F): 0.71 states/eV/atom
data_MgAsPBr2
_chemical_formula_sum 'Mg1 As1 P1 Br2'
_cell_length_a 5.051
_cell_length_b 5.051
_cell_length_c 5.035
_cell_angle_alpha 90.00
_cell_angle_beta 90.00
_cell_angle_gamma 90.00
_space_group_name_H-M_alt 'P 4/m m m'
_space_group_IT_number 123
_space_group_name_Hall '-P 4 2'
loop_
_atom_site_label
_atom_site_type_symbol
_atom_site_fract_x
_atom_site_fract_y
_atom_site_fract_z
Mg1 Mg 0.000 0.000 0.000
As1 As 0.500 0.500 0.000
P1 P 0.500 0.500 0.500
Br1 Br 0.000 0.500 0.500



# Na2AgIO4 PBE-GGA optimized geometry
# D(E_F): 0.00 states/eV/atom
# E_tot: -4.08 eV/atom
data_Na2AgIO4
_chemical_formula_sum 'Na4 Ag2 I2 O8'
_cell_length_a 5.263
_cell_length_b 5.263
_cell_length_c 10.156
_cell_angle_alpha 90.00
_cell_angle_beta 90.00
_cell_angle_gamma 90.00
_space_group_name_H-M_alt 'I -4'
_space_group_IT_number 82
_space_group_name_Hall 'I -4'
loop_
_atom_site_label
_atom_site_type_symbol
_atom_site_fract_x
_atom_site_fract_y
_atom_site_fract_z
Na1 Na 0.000 0.000 0.000
Na2 Na 0.000 0.500 0.250
Ag1 Ag 0.000 0.000 0.500
I1 I 0.000 0.500 0.750
O1 O 0.215 0.722 0.861



# Sr3Er2HfAs6 PBE-GGA optimized geometry
# Energy of formation: -14.02 eV/f.u.
# D(E_F): 0.58 states/eV/atom
data_Sr3Er2HfAs6
_chemical_formula_sum 'Sr6 Er4 Hf2 As12'
_cell_length_a 7.210
_cell_length_b 12.485
_cell_length_c 7.514
_cell_angle_alpha 90.00
_cell_angle_beta 108.65
_cell_angle_gamma 90.00
_space_group_name_H-M_alt 'C 1 2/m 1'
_space_group_IT_number 12
_space_group_name_Hall '-C 2y'
loop_
_atom_site_label
_atom_site_type_symbol
_atom_site_fract_x
_atom_site_fract_y
_atom_site_fract_z
Sr1 Sr 0.000 0.000 0.000
Sr2 Sr 0.000 0.330 0.000
Er1 Er 0.000 0.166 0.500
Hf1 Hf 0.000 0.500 0.500
As1 As 0.232 0.340 0.715
As2 As 0.247 0.500 0.283